LaSiSe | GGA-PBEsol | relaxed

The structure in POSCAR format:
```
LaSiSe
1.0
-3.398 -0.537 1.941
2.276 -0.961 3.719
-1.167 4.220 -0.876
La Si Se
1 1 1
direct
0.000 0.000 0.000
0.500 0.667 0.333
0.500 0.333 0.667
```

Energy relative to the elements, uncorrected = -0.79 eV/atom
SG = P-6m2
Total magnetization = 0.00 μB per cell
Energy = -5.7752 eV/atom